A relaxed Tb2Pr3Ho3 crystal. Source: Alexandria via LeMat-Bulk, functional PBE.

Computed properties:
E_form in kcal/mol of atoms: 2.02
Mass density in g/cm3: 7.6
D(E_F) in states/eV/f.u.: 13.43
Crystal system: monoclinic
Relative energy among the computed polymorphs in eV per atom: 0.066

a = 16.3979 Å, b = 5.7666 Å, c = 6.0589 Å
α = 90.00°, β = 110.54°, γ = 90.00°
Fractional positions:
Tb  0.2498  0.0000  0.1809
Tb  0.2502  0.5000  0.8191
Tb  0.7502  0.0000  0.8191
Tb  0.7498  0.5000  0.1809
Pr  0.0000  0.5000  0.5000
Pr  0.1353  0.5000  0.1978
Pr  0.3647  0.0000  0.8022
Pr  0.5000  0.0000  0.5000
Pr  0.6353  0.0000  0.1978
Pr  0.8647  0.5000  0.8022
Ho  0.0000  0.0000  0.0000
Ho  0.1321  0.0000  0.5808
Ho  0.3679  0.5000  0.4192
Ho  0.5000  0.5000  0.0000
Ho  0.6321  0.5000  0.5808
Ho  0.8679  0.0000  0.4192

A relaxed InMo3Br crystal. Source: Alexandria via LeMat-Bulk, functional PBE.

Computed properties:
Mass density in g/cm3: 6.4
D(E_F) in states/eV/f.u.: 9.30
Crystal system: cubic
Formation energy without anion corrections in meV per atom: 2606
Relative energy among the computed polymorphs in eV per atom: 1.223

a = 5.0010 Å, b = 5.0010 Å, c = 5.0010 Å
α = 90.00°, β = 90.00°, γ = 90.00°
Fractional positions:
In  0.0000  0.0000  0.0000
Mo  0.0000  0.0000  0.5000
Mo  0.0000  0.5000  0.0000
Mo  0.5000  0.0000  0.0000
Br  0.5000  0.5000  0.5000

A relaxed YPt6 crystal. Source: Alexandria via LeMat-Bulk, functional PBE.

Computed properties:
E_form in kcal/mol of atoms: -12.06
Mass density in g/cm3: 16.9
D(E_F) in states/eV/f.u.: 7.15
Crystal system: orthorhombic
Relative energy among the computed polymorphs in eV per atom: 0.000

a = 9.5044 Å, b = 5.3526 Å, c = 9.7527 Å
α = 90.00°, β = 90.00°, γ = 90.00°
Fractional positions:
Y  0.2203  0.2500  0.0496
Y  0.2797  0.7500  0.5496
Y  0.7203  0.2500  0.4504
Y  0.7797  0.7500  0.9504
Pt  0.0075  0.2500  0.5208
Pt  0.0402  0.5036  0.7596
Pt  0.0402  0.9964  0.7596
Pt  0.0751  0.7500  0.0131
Pt  0.2089  0.7500  0.2660
Pt  0.2105  0.2500  0.3355
Pt  0.2895  0.7500  0.8355
Pt  0.2911  0.2500  0.7660
Pt  0.4249  0.2500  0.5131
Pt  0.4598  0.0036  0.2596
Pt  0.4598  0.4964  0.2596
Pt  0.4925  0.7500  0.0208
Pt  0.5075  0.2500  0.9792
Pt  0.5402  0.5036  0.7404
Pt  0.5402  0.9964  0.7404
Pt  0.5751  0.7500  0.4869
Pt  0.7089  0.7500  0.2340
Pt  0.7105  0.2500  0.1645
Pt  0.7895  0.7500  0.6645
Pt  0.7911  0.2500  0.7340
Pt  0.9249  0.2500  0.9869
Pt  0.9598  0.0036  0.2404
Pt  0.9598  0.4964  0.2404
Pt  0.9925  0.7500  0.4792

A relaxed NbSi2Ru2 crystal. Source: Alexandria via LeMat-Bulk, functional PBE.

Computed properties:
Mass density in g/cm3: 8.3
D(E_F) in states/eV/f.u.: 3.23
Crystal system: tetragonal
Formation energy without anion corrections in meV per atom: -512

a = 7.0665 Å, b = 7.0665 Å, c = 2.8254 Å
α = 90.00°, β = 90.00°, γ = 90.00°
Fractional positions:
Nb  0.0000  0.0000  0.0000
Nb  0.5000  0.5000  0.0000
Si  0.1439  0.3561  0.0000
Si  0.3561  0.8561  0.0000
Si  0.6439  0.1439  0.0000
Si  0.8561  0.6439  0.0000
Ru  0.1506  0.6506  0.5000
Ru  0.3494  0.1506  0.5000
Ru  0.6506  0.8494  0.5000
Ru  0.8494  0.3494  0.5000

A relaxed ZrScTaRe crystal. Source: Alexandria via LeMat-Bulk, functional PBE.

Computed properties:
E_form in kcal/mol of atoms: -0.67
Mass density in g/cm3: 11.2
D(E_F) in states/eV/f.u.: 4.25
Crystal system: cubic

a = 6.6752 Å, b = 6.6752 Å, c = 6.6752 Å
α = 90.00°, β = 90.00°, γ = 90.00°
Fractional positions:
Zr  0.0000  0.0000  0.0000
Zr  0.0000  0.5000  0.5000
Zr  0.5000  0.0000  0.5000
Zr  0.5000  0.5000  0.0000
Sc  0.2500  0.2500  0.7500
Sc  0.2500  0.7500  0.2500
Sc  0.7500  0.2500  0.2500
Sc  0.7500  0.7500  0.7500
Ta  0.0000  0.0000  0.5000
Ta  0.0000  0.5000  0.0000
Ta  0.5000  0.0000  0.0000
Ta  0.5000  0.5000  0.5000
Re  0.2500  0.2500  0.2500
Re  0.2500  0.7500  0.7500
Re  0.7500  0.2500  0.7500
Re  0.7500  0.7500  0.2500

A relaxed SrZr2RhN4 crystal. Source: Alexandria via LeMat-Bulk, functional PBE.

Computed properties:
Mass density in g/cm3: 6.5
D(E_F) in states/eV/f.u.: 4.58
Crystal system: orthorhombic
Formation energy without anion corrections in meV per atom: -914

a = 5.9799 Å, b = 5.9799 Å, c = 11.6426 Å
α = 90.00°, β = 90.00°, γ = 148.10°
Fractional positions:
Sr  0.1090  0.8910  0.7500
Sr  0.8910  0.1090  0.2500
Zr  0.3674  0.6326  0.5470
Zr  0.3674  0.6326  0.9530
Zr  0.6326  0.3674  0.0470
Zr  0.6326  0.3674  0.4530
Rh  0.1572  0.8428  0.2500
Rh  0.8428  0.1572  0.7500
N  0.0000  0.0000  0.0000
N  0.0000  0.0000  0.5000
N  0.2624  0.7376  0.1036
N  0.2624  0.7376  0.3964
N  0.4429  0.5571  0.7500
N  0.5571  0.4429  0.2500
N  0.7376  0.2624  0.6036
N  0.7376  0.2624  0.8964

A relaxed La4HgPtO crystal. Source: Alexandria via LeMat-Bulk, functional PBE.

Computed properties:
Mass density in g/cm3: 8.3
D(E_F) in states/eV/f.u.: 6.14
Crystal system: orthorhombic
Formation energy without anion corrections in meV per atom: -1241

a = 8.6078 Å, b = 8.6078 Å, c = 7.0241 Å
α = 90.00°, β = 90.00°, γ = 132.05°
Fractional positions:
La  0.0000  0.5000  0.0000
La  0.0000  0.5000  0.5000
La  0.0532  0.9468  0.7500
La  0.4229  0.5771  0.7500
La  0.5000  0.0000  0.0000
La  0.5000  0.0000  0.5000
La  0.5771  0.4229  0.2500
La  0.9468  0.0532  0.2500
Hg  0.3846  0.6154  0.2500
Hg  0.6154  0.3846  0.7500
Pt  0.1226  0.8774  0.2500
Pt  0.8774  0.1226  0.7500
O  0.2614  0.7386  0.7500
O  0.7386  0.2614  0.2500

A relaxed Na2Zn6Au3 crystal. Source: Alexandria via LeMat-Bulk, functional PBE.

Computed properties:
E_form in kcal/mol of atoms: -4.08
Mass density in g/cm3: 7.9
D(E_F) in states/eV/f.u.: 2.35
Crystal system: hexagonal

a = 7.7793 Å, b = 7.7793 Å, c = 4.1437 Å
α = 90.00°, β = 90.00°, γ = 120.00°
Fractional positions:
Na  0.3333  0.6667  0.0000
Na  0.6667  0.3333  0.0000
Zn  0.0000  0.2732  0.5000
Zn  0.0000  0.8074  0.0000
Zn  0.1926  0.1926  0.0000
Zn  0.2732  0.0000  0.5000
Zn  0.7268  0.7268  0.5000
Zn  0.8074  0.0000  0.0000
Au  0.0000  0.6052  0.5000
Au  0.3948  0.3948  0.5000
Au  0.6052  0.0000  0.5000

Question: Among the records above, which one has the lowest mass density?
Answer: InMo3Br